Hf2BiPd2: optimized geometry, PBEsol.

Structure (POSCAR):
```
Hf2BiPd2
1.0
3.281 0.000 0.000
0.000 7.689 0.000
0.000 0.000 7.689
Hf Pd Bi
4 4 2
Cartesian
1.640 1.252 5.097
1.640 5.097 6.437
1.640 6.437 2.593
1.640 2.593 1.252
0.000 0.979 2.866
0.000 2.866 6.711
0.000 4.823 0.979
0.000 6.711 4.823
0.000 3.845 3.845
0.000 0.000 0.000
```

The magnetization comes out at 0.0 μB/cell. For the total energy, the calculation gives -79.85 eV per cell. Its energy of formation from the pure elements is -543 meV/atom.